Record 1
Computed, not measured: Tc2PtW after structural relaxation at the GGA-PBE level of DFT.

Computed properties:
E_tot, eV/atom: -10.031
Formation energy, eV/f.u.: -0.40
Total moment, μB per cell: 0.0
Symmetry: No. 25
Energy relative to the lowest polymorph listed for this composition, meV/atom: 65

a b c (Å): 2.769 3.923 5.600
angles (deg): 90.00 90.00 90.00
Atoms (fractional coordinates):
Tc  0.000  0.000  0.000
Tc  0.500  0.500  0.212
Pt  0.500  0.500  0.724
W  0.000  0.000  0.465



Record 2
Computed, not measured: RbBSb2Te after structural relaxation at the GGA-PBE level of DFT.

Computed properties:
E_tot, eV/atom: -3.318
ΔE_f (raw), eV/atom: 0.4885
Total moment, μB per cell: 0.0
Symmetry: No. 123
Energy relative to the lowest polymorph listed for this composition, meV/atom: 0

a b c (Å): 5.050 5.050 5.386
angles (deg): 90.00 90.00 90.00
Atoms (fractional coordinates):
Rb  0.000  0.000  0.000
B  0.500  0.500  0.500
Sb  0.000  0.500  0.500
Sb  0.500  0.000  0.500
Te  0.500  0.500  0.000



Record 3
Computed, not measured: In4HgTe after structural relaxation at the GGA-PBE level of DFT.

Computed properties:
E_tot, eV/atom: -2.316
ΔE_f (raw), eV/atom: 0.0836
Total moment, μB per cell: 0.0
Symmetry: No. 216
Energy relative to the lowest polymorph listed for this composition, meV/atom: 131

a b c (Å): 6.327 6.327 6.327
angles (deg): 60.00 60.00 60.00
Atoms (fractional coordinates):
In  0.125  0.125  0.125
In  0.125  0.125  0.625
In  0.125  0.625  0.125
In  0.625  0.125  0.125
Hg  0.500  0.500  0.500
Te  0.750  0.750  0.750